Tb3ErTh3 GGA-PBE optimized geometry; DFT formation energy = 0.0423 eV/atom; DFT total energy = -5.77 eV/atom; ρ = 9.83 g/cm³
1.0
-2.604 0.999 5.138
7.527 -3.535 4.503
-0.406 9.234 -2.002
Er Tb Th
2 6 6
Direct
0.750 0.333 0.667
0.250 0.667 0.333
0.750 0.470 0.378
0.750 0.622 0.092
0.750 0.908 0.530
0.250 0.092 0.470
0.250 0.378 0.908
0.250 0.530 0.622
0.250 0.814 0.048
0.750 0.766 0.814
0.750 0.048 0.234
0.750 0.186 0.952
0.250 0.234 0.186
0.250 0.952 0.766

***

Pr3Y6HoSc2 GGA-PBE optimized geometry; DFT formation energy = 0.0447 eV/atom; DFT total energy = -5.82 eV/atom; ρ = 5.28 g/cm³
1.0
-3.613 4.935 -0.834
-1.622 -5.453 -2.395
-3.981 -2.381 10.772
Sc Pr Ho Y
2 3 1 6
Direct
0.667 0.333 0.000
0.333 0.667 0.000
0.167 0.833 0.500
0.833 0.167 0.500
0.500 0.500 0.500
0.000 0.000 0.000
0.744 0.744 0.240
0.584 0.920 0.760
0.920 0.584 0.760
0.080 0.416 0.240
0.416 0.080 0.240
0.256 0.256 0.760

***

MgICl GGA-PBE optimized geometry; raw formation energy = -1.433 eV per atom; DFT total energy = -3.10 eV/atom; ρ = 3.09 g/cm³
1.0
3.986 0.000 0.000
0.000 6.522 -1.739
0.000 0.636 7.554
Cl Mg I
2 2 2
Direct
0.750 0.881 0.328
0.250 0.119 0.672
0.750 0.236 0.501
0.250 0.764 0.499
0.750 0.627 0.735
0.250 0.373 0.265

***

SmErC GGA-PBE optimized geometry; DFT formation energy = -0.2153 eV/atom; DFT total energy = -6.38 eV/atom; ρ = 7.72 g/cm³
1.0
3.587 0.000 0.000
-1.793 3.106 0.000
0.000 0.000 6.364
C Er Sm
1 1 1
Direct
0.667 0.333 0.342
0.333 0.667 0.544
0.000 0.000 0.114

***

CdNiPb GGA-PBE optimized geometry; DFT formation energy = 0.1518 eV/atom; DFT total energy = -3.32 eV/atom; ρ = 9.95 g/cm³
1.0
-2.066 1.555 5.860
0.900 0.317 6.332
1.161 2.990 0.518
Ni Pb Cd
1 1 1
Direct
0.339 0.339 0.661
0.696 0.696 0.304
0.965 0.965 0.035

***

Na3ScCu GGA-PBE optimized geometry; DFT formation energy = 0.6439 eV/atom; DFT total energy = -2.23 eV/atom; ρ = 1.93 g/cm³
1.0
-5.057 1.740 0.046
-1.491 -4.259 -2.871
-0.898 -2.728 4.512
Na Cu Sc
3 1 1
Direct
0.000 0.500 0.000
0.500 0.000 0.000
0.000 0.000 0.500
0.000 0.000 0.000
0.500 0.500 0.500

***

PmInSb GGA-PBE optimized geometry; raw formation energy = -0.465 eV per atom; DFT total energy = -4.34 eV/atom; ρ = 7.56 g/cm³
1.0
3.965 0.000 0.000
0.000 3.965 0.000
-1.982 -1.982 5.331
Sb In Pm
1 1 1
Direct
0.295 0.295 0.589
0.934 0.934 0.868
0.621 0.621 0.242

***

LaBi2Ru GGA-PBE optimized geometry; DFT formation energy = 0.1020 eV/atom; DFT total energy = -5.39 eV/atom; ρ = 9.73 g/cm³
1.0
-2.063 -4.058 -0.061
3.959 -2.027 0.974
-1.183 -2.118 11.038
Bi Ru La
4 2 2
Direct
0.375 0.410 0.750
0.875 0.840 0.750
0.160 0.625 0.250
0.590 0.125 0.250
0.250 0.750 0.500
0.500 0.500 0.000
0.750 0.250 0.500
0.000 0.000 0.000